Here is a geometry-optimized NaAc2Fe2O7 structure from Alexandria via LeMat-Bulk. Energies are from GGA+U.

The structure in POSCAR format:
```
NaAc2Fe2O7
1.0
-1.0311 1.9540 2.7656
-0.6740 -3.9983 2.5736
11.2509 1.5326 0.8467
Na Ac Fe O
1 2 2 7
direct
0.0000 0.0513 0.0000
0.3095 0.8982 0.6190
0.6905 0.2792 0.3810
0.4201 0.4491 0.8401
0.5799 0.6090 0.1599
0.4169 0.8176 0.8338
0.7359 0.8341 0.4718
0.1160 0.5206 0.2320
0.5831 0.9838 0.1662
0.2641 0.3623 0.5282
0.8840 0.2887 0.7680
0.5000 0.4060 0.0000
```

Output
- SG: Imm2 (44)
- N(E_F): 7.5 states/eV/f.u.
- Total magnetic moment: 9.0 μB per formula unit
- V: 15.57 Å³/atom
- Uncorrected energy: -79.4 eV/f.u.